Entry 1:
Entry from Alexandria via LeMat-Bulk: an optimized crystal structure of NdAl4Co (PBE).

D(E_F): 0.867 states/eV per atom
Energy relative to the elements: -0.33 eV/f.u.

Lattice parameters (Å, degrees): 6.284 6.284 6.818 90.00 90.00 90.00
Positions (direct):
Nd 0.500 0.000 0.500
Nd 0.000 0.500 0.500
Al 0.750 0.250 0.000
Al 0.750 0.750 0.000
Al 0.250 0.250 0.000
Al 0.250 0.750 0.000
Al 0.000 0.000 0.324
Al 0.500 0.500 0.676
Al 0.000 0.000 0.676
Al 0.500 0.500 0.324
Co 0.500 0.500 0.000
Co 0.000 0.000 0.000



Entry 2:
Entry from Alexandria via LeMat-Bulk: an optimized crystal structure of LuPPd (PBE).

D(E_F): 0.314 states/eV per atom
Energy relative to the elements: -2.41 eV/f.u.

Lattice parameters (Å, degrees): 3.756 3.756 4.800 113.03 113.03 90.00
Positions (direct):
P 0.271 0.271 0.541
Lu 0.615 0.615 0.231
Pd 0.964 0.964 0.928



Entry 3:
Entry from Alexandria via LeMat-Bulk: an optimized crystal structure of Sm2CoNi2 (PBE).

D(E_F): 0.709 states/eV per atom
Energy relative to the elements: -1.28 eV/f.u.

Lattice parameters (Å, degrees): 3.964 5.557 9.641 81.26 78.14 69.11
Positions (direct):
Sm 0.701 0.238 0.359
Sm 0.903 0.301 0.894
Sm 0.299 0.762 0.641
Sm 0.097 0.699 0.106
Co 0.573 0.171 0.683
Co 0.427 0.829 0.317
Ni 0.039 0.333 0.589
Ni 0.615 0.883 0.887
Ni 0.961 0.667 0.411
Ni 0.385 0.117 0.113



Entry 4:
Entry from Alexandria via LeMat-Bulk: an optimized crystal structure of K3Np2Te6Au (PBE).

D(E_F): 1.553 states/eV per atom
Formation energy (no corrections): -0.70 eV per atom

Lattice parameters (Å, degrees): 7.723 7.723 8.595 98.62 98.62 119.81
Positions (direct):
K 0.164 0.836 0.500
K 0.836 0.164 0.500
K 0.500 0.500 0.500
Np 0.333 0.667 0.000
Np 0.667 0.333 0.000
Te 0.932 0.598 0.796
Te 0.733 0.733 0.204
Te 0.068 0.402 0.204
Te 0.598 0.932 0.796
Te 0.267 0.267 0.796
Te 0.402 0.068 0.204
Au 0.000 0.000 0.000



Entry 5:
Entry from Alexandria via LeMat-Bulk: an optimized crystal structure of NiIr2Rh (PBE).

D(E_F): 1.528 states/eV per atom
Energy relative to the elements: 0.06 eV/f.u.

Lattice parameters (Å, degrees): 4.631 4.631 4.646 79.92 79.92 34.03
Positions (direct):
Ni 0.750 0.750 0.750
Ir 0.003 0.003 0.995
Ir 0.497 0.497 0.505
Rh 0.250 0.250 0.250



Entry 6:
Entry from Alexandria via LeMat-Bulk: an optimized crystal structure of SrNb3H (PBE).

D(E_F): 1.215 states/eV per atom
Energy relative to the lowest polymorph listed for this composition: 0.0 kJ/mol of atoms

Lattice parameters (Å, degrees): 4.481 4.481 4.481 90.00 90.00 90.00
Positions (direct):
Sr 0.500 0.500 0.500
Nb 0.000 0.500 0.000
Nb 0.000 0.000 0.500
Nb 0.500 0.000 0.000
H 0.000 0.000 0.000



Entry 7:
Entry from Alexandria via LeMat-Bulk: an optimized crystal structure of TaBeNb3 (PBE).

D(E_F): 1.202 states/eV per atom
Energy relative to the lowest polymorph listed for this composition: 115.1 kJ/mol of atoms
Energy relative to the elements: 8.80 eV/f.u.

Lattice parameters (Å, degrees): 4.875 4.875 4.875 90.00 90.00 90.00
Positions (direct):
Be 0.500 0.500 0.500
Nb 0.000 0.500 0.000
Nb 0.000 0.000 0.500
Nb 0.500 0.000 0.000
Ta 0.000 0.000 0.000



Entry 8:
Entry from Alexandria via LeMat-Bulk: an optimized crystal structure of Li2Si2Au3 (PBE).

D(E_F): 0.238 states/eV per atom
Formation energy (no corrections): -0.29 eV per atom

Lattice parameters (Å, degrees): 4.445 5.196 6.128 74.31 90.00 115.33
Positions (direct):
Li 0.343 0.686 0.791
Li 0.657 0.314 0.209
Si 0.103 0.206 0.569
Si 0.897 0.794 0.431
Au 0.000 0.000 0.000
Au 0.350 0.699 0.265
Au 0.650 0.301 0.735



Entry 9:
Entry from Alexandria via LeMat-Bulk: an optimized crystal structure of MgSc3Se4 (PBE).

D(E_F): 0.591 states/eV per atom
Formation energy (no corrections): -1.49 eV per atom
Energy relative to the lowest polymorph listed for this composition: 0.0 kJ/mol of atoms

Lattice parameters (Å, degrees): 3.863 3.863 13.008 81.46 81.46 60.00
Positions (direct):
Sc 0.753 0.753 0.741
Sc 0.500 0.500 0.500
Sc 0.247 0.247 0.259
Mg 0.000 0.000 0.000
Se 0.625 0.625 0.125
Se 0.874 0.874 0.377
Se 0.375 0.375 0.875
Se 0.126 0.126 0.623



Entry 10:
Entry from Alexandria via LeMat-Bulk: an optimized crystal structure of Hf2Zr3Sn3 (PBE).

D(E_F): 1.005 states/eV per atom
Energy relative to the elements: -2.26 eV/f.u.

Lattice parameters (Å, degrees): 3.881 7.029 14.574 90.00 90.00 106.03
Positions (direct):
Hf 0.755 0.511 0.916
Hf 0.245 0.489 0.416
Hf 0.755 0.511 0.584
Hf 0.245 0.489 0.084
Zr 0.929 0.858 0.395
Zr 0.071 0.142 0.895
Zr 0.929 0.858 0.105
Zr 0.071 0.142 0.605
Zr 0.682 0.365 0.250
Zr 0.318 0.635 0.750
Sn 0.590 0.180 0.441
Sn 0.410 0.820 0.941
Sn 0.590 0.180 0.059
Sn 0.410 0.820 0.559
Sn 0.366 0.733 0.250
Sn 0.634 0.267 0.750



Entry 11:
Entry from Alexandria via LeMat-Bulk: an optimized crystal structure of KLiO2 (PBE).

D(E_F): 0.000 states/eV per atom
Formation energy (no corrections): -1.16 eV per atom

Lattice parameters (Å, degrees): 4.079 3.844 3.844 109.65 90.00 90.00
Positions (direct):
K 0.000 0.026 0.974
Li 0.500 0.586 0.414
O 0.500 0.129 0.526
O 0.500 0.474 0.871



Entry 12:
Entry from Alexandria via LeMat-Bulk: an optimized crystal structure of LaEr2Sb (PBE).

D(E_F): 1.248 states/eV per atom
Formation energy (no corrections): -0.49 eV per atom
Energy relative to the lowest polymorph listed for this composition: 0.0 kJ/mol of atoms

Lattice parameters (Å, degrees): 4.781 4.874 4.874 90.00 90.00 90.00
Positions (direct):
Sb 0.500 0.000 0.000
La 0.500 0.500 0.500
Er 0.000 0.000 0.500
Er 0.000 0.500 0.000



Entry 13:
Entry from Alexandria via LeMat-Bulk: an optimized crystal structure of CaTm2Al (PBE).

D(E_F): 0.935 states/eV per atom
Energy relative to the lowest polymorph listed for this composition: 6.7 kJ/mol of atoms
Energy relative to the elements: -0.29 eV/f.u.

Lattice parameters (Å, degrees): 4.681 4.824 4.824 90.00 90.00 90.00
Positions (direct):
Ca 0.500 0.000 0.000
Tm 0.000 0.000 0.500
Tm 0.000 0.500 0.000
Al 0.500 0.500 0.500



Entry 14:
Entry from Alexandria via LeMat-Bulk: an optimized crystal structure of Ca2Zn2SnN4 (PBE).

Formation energy (no corrections): -0.21 eV per atom

Lattice parameters (Å, degrees): 3.326 6.750 6.410 116.99 90.00 104.26
Positions (direct):
Ca 0.860 0.720 0.471
Ca 0.140 0.280 0.529
Zn 0.327 0.654 0.019
Zn 0.673 0.346 0.981
Sn 0.000 0.000 0.000
N 0.784 0.568 0.794
N 0.216 0.432 0.206
N 0.500 0.000 0.239
N 0.500 0.000 0.761



Entry 15:
Entry from Alexandria via LeMat-Bulk: an optimized crystal structure of AgSnPt2 (PBE).

D(E_F): 0.388 states/eV per atom
Energy relative to the elements: -0.99 eV/f.u.

Lattice parameters (Å, degrees): 3.989 4.167 4.167 90.00 90.00 90.00
Positions (direct):
Ag 0.500 0.500 0.500
Sn 0.500 0.000 0.000
Pt 0.000 0.000 0.500
Pt 0.000 0.500 0.000



Entry 16:
Entry from Alexandria via LeMat-Bulk: an optimized crystal structure of AcTbZnOs (PBE).

D(E_F): 1.082 states/eV per atom
Energy relative to the elements: -0.19 eV/f.u.

Lattice parameters (Å, degrees): 5.144 5.144 5.144 60.00 60.00 60.00
Positions (direct):
Tb 0.750 0.750 0.750
Ac 0.250 0.250 0.250
Os 0.500 0.500 0.500
Zn 0.000 0.000 0.000



Entry 17:
Entry from Alexandria via LeMat-Bulk: an optimized crystal structure of CuSi (PBE).

D(E_F): 0.388 states/eV per atom
Formation energy (no corrections): 0.47 eV per atom

Lattice parameters (Å, degrees): 4.656 4.656 4.656 90.00 90.00 90.00
Positions (direct):
Cu 0.500 0.000 0.500
Cu 0.500 0.500 0.000
Cu 0.000 0.500 0.500
Si 0.000 0.500 0.000
Si 0.000 0.000 0.500
Si 0.500 0.000 0.000



Entry 18:
Entry from Alexandria via LeMat-Bulk: an optimized crystal structure of Na3Hf2NpN6 (PBE).

Formation energy (no corrections): -1.05 eV per atom

Lattice parameters (Å, degrees): 5.710 5.710 6.009 99.11 99.11 120.04
Positions (direct):
Na 0.168 0.832 0.500
Na 0.832 0.168 0.500
Na 0.500 0.500 0.500
Hf 0.333 0.667 0.000
Hf 0.667 0.333 0.000
Np 0.000 0.000 0.000
N 0.937 0.614 0.811
N 0.741 0.741 0.188
N 0.063 0.386 0.189
N 0.614 0.937 0.811
N 0.259 0.259 0.812
N 0.386 0.063 0.189



Entry 19:
Entry from Alexandria via LeMat-Bulk: an optimized crystal structure of BaSi2Rh (PBE).

D(E_F): 0.586 states/eV per atom
Formation energy (no corrections): -0.25 eV per atom

Lattice parameters (Å, degrees): 3.332 3.332 7.270 90.00 90.00 90.04
Positions (direct):
Ba 0.500 0.500 0.250
Rh 0.500 0.500 0.750
Si 0.000 0.000 0.917
Si 0.000 0.000 0.583



Entry 20:
Entry from Alexandria via LeMat-Bulk: an optimized crystal structure of Th2MgCd16 (PBE).

D(E_F): 0.468 states/eV per atom
Energy relative to the elements: -1.45 eV/f.u.

Lattice parameters (Å, degrees): 7.657 7.657 7.657 82.31 82.31 82.31
Positions (direct):
Th 0.662 0.662 0.662
Th 0.334 0.334 0.334
Mg 0.908 0.908 0.908
Cd 0.700 0.001 0.296
Cd 0.001 0.296 0.700
Cd 0.296 0.700 0.001
Cd 0.001 0.700 0.296
Cd 0.700 0.296 0.001
Cd 0.296 0.001 0.700
Cd 0.351 0.865 0.351
Cd 0.865 0.351 0.351
Cd 0.351 0.351 0.865
Cd 0.631 0.186 0.631
Cd 0.186 0.631 0.631
Cd 0.631 0.631 0.186
Cd 0.979 0.522 0.979
Cd 0.522 0.979 0.979
Cd 0.979 0.979 0.522
Cd 0.107 0.107 0.107